1.
An optimized crystal structure of DyEr2Ga3NiGe2. Source: OQMD via LeMat-Bulk, functional GGA-PBE.

a = 4.1316 Å, b = 6.9541 Å, c = 6.9541 Å
α = 120.11°, β = 90.00°, γ = 90.00°
Atoms (fractional coordinates):
Ga (0.5000, 0.2297, 0.2297)
Er (0.0000, 0.3994, 0.9997)
Er (0.0000, 0.9997, 0.3994)
Ga (0.5000, 0.7703, 0.0008)
Ge (0.5000, 0.3318, 0.6672)
Dy (0.0000, 0.5996, 0.5996)
Ga (0.5000, 0.0008, 0.7703)
Ni (0.0000, 0.0016, 0.0016)
Ge (0.5000, 0.6672, 0.3318)

Properties
Total energy (eV per cell): -44.074
Symmetry: Amm2
Total magnetic moment (μB/f.u.): 0.00

2.
An optimized crystal structure of TbYAg2Ge2. Source: OQMD via LeMat-Bulk, functional GGA-PBE.

a = 4.5075 Å, b = 4.5075 Å, c = 7.3182 Å
α = 90.00°, β = 90.00°, γ = 120.00°
Atoms (fractional coordinates):
Ag (0.3333, 0.6667, 0.9589)
Tb (0.0000, 0.0000, 0.7431)
Ge (0.6667, 0.3333, 0.0385)
Y (0.0000, 0.0000, 0.2431)
Ge (0.3333, 0.6667, 0.5385)
Ag (0.6667, 0.3333, 0.4569)

Properties
Total energy (eV per cell): -29.710
Symmetry: P3m1
Total magnetic moment (μB/f.u.): 0.00

3.
An optimized crystal structure of Er3Mg3TlAu2. Source: OQMD via LeMat-Bulk, functional GGA-PBE.

a = 7.7745 Å, b = 7.7745 Å, c = 3.9737 Å
α = 90.00°, β = 90.00°, γ = 120.00°
Atoms (fractional coordinates):
Er (0.5856, 0.5856, 0.0000)
Au (0.6667, 0.3333, 0.5000)
Mg (0.2651, 0.2651, 0.5000)
Mg (0.7349, 0.0000, 0.5000)
Er (0.0000, 0.4144, 0.0000)
Tl (0.0000, 0.0000, 0.0000)
Mg (0.0000, 0.7349, 0.5000)
Er (0.4144, 0.0000, 0.0000)
Au (0.3333, 0.6667, 0.5000)

Properties
Total energy (eV per cell): -31.925
Symmetry: P-62m
Total magnetic moment (μB/f.u.): 0.02

4.
An optimized crystal structure of LaPrTlCo2. Source: OQMD via LeMat-Bulk, functional GGA-PBE.

a = 3.9959 Å, b = 7.5637 Å, c = 7.5637 Å
α = 30.24°, β = 90.00°, γ = 90.00°
Site moments in Bohr magnetons follow the coordinates.
Atoms (fractional coordinates):
La (0.5000, 0.6386, 0.6386)  0.12
Tl (0.0000, 0.9992, 0.9992)  0.02
Pr (0.5000, 0.3631, 0.3631)  0.12
Co (0.0000, 0.7895, 0.7895)  -0.95
Co (0.0000, 0.2095, 0.2095)  -0.92

Properties
Total energy (eV per cell): -27.297
Symmetry: Amm2
Total magnetic moment (μB/f.u.): 1.29

5.
An optimized crystal structure of Dy3Al7Pd2. Source: OQMD via LeMat-Bulk, functional GGA-PBE.

a = 9.2247 Å, b = 9.2247 Å, c = 9.2247 Å
α = 34.72°, β = 34.72°, γ = 34.72°
Atoms (fractional coordinates):
Al (0.0730, 0.5832, 0.5832)
Al (0.4168, 0.4168, 0.9270)
Pd (0.3357, 0.3357, 0.3357)
Al (0.5832, 0.5832, 0.0730)
Al (0.5832, 0.0730, 0.5832)
Pd (0.6643, 0.6643, 0.6643)
Dy (0.1437, 0.1437, 0.1437)
Al (0.9270, 0.4168, 0.4168)
Al (0.5000, 0.5000, 0.5000)
Dy (0.8563, 0.8563, 0.8563)
Dy (0.0000, 0.0000, 0.0000)
Al (0.4168, 0.9270, 0.4168)

Properties
Total energy (eV per cell): -58.695
Symmetry: R-3m
Total magnetic moment (μB/f.u.): 0.00

6.
An optimized crystal structure of ZrSn2Au. Source: OQMD via LeMat-Bulk, functional GGA-PBE.

a = 4.2542 Å, b = 4.2542 Å, c = 9.6077 Å
α = 90.00°, β = 90.00°, γ = 90.00°
Atoms (fractional coordinates):
Zr (0.0000, 0.5000, 0.7589)
Au (0.5000, 0.5000, 0.5000)
Zr (0.5000, 0.0000, 0.2411)
Au (0.0000, 0.0000, 0.5000)
Sn (0.5000, 0.5000, 0.0000)
Sn (0.0000, 0.5000, 0.2978)
Sn (0.0000, 0.0000, 0.0000)
Sn (0.5000, 0.0000, 0.7022)

Properties
Distance to the lowest polymorph of the same formula (meV/atom): 0
Symmetry: P4/nmm
Total magnetic moment (μB/f.u.): 0.00